# 1
# CrRePb2

CrRePb2 after structural relaxation (PBE-GGA, Alexandria via LeMat-Bulk).

Cell and atoms, written as POSCAR:
```
CrRePb2
1.0
4.2907 0.0000 0.0000
0.0000 3.6349 0.0000
0.0000 0.0000 10.3262
Cr Re Pb
2 2 4
Direct
0.0000 0.0000 0.0000
0.0000 0.5000 0.5000
0.5000 0.0000 0.8845
0.5000 0.5000 0.3845
0.0000 0.0000 0.2847
0.0000 0.5000 0.7847
0.5000 0.0000 0.5994
0.5000 0.5000 0.0994
```

Computed properties:
- Symmetry: Amm2, No. 38
- DFT formation energy: 0.7584 eV per atom
- Distance to the lowest polymorph of the same formula: 135 kJ/mol of formula units

***

# 2
# CsBN3

CsBN3 after structural relaxation (PBE-GGA, Alexandria via LeMat-Bulk).

Cell and atoms, written as POSCAR:
```
CsBN3
1.0
3.6990 0.0000 0.0000
0.0000 3.6990 0.0000
0.0000 0.0000 3.6990
Cs B N
1 1 3
Direct
0.0000 0.0000 0.0000
0.5000 0.5000 0.5000
0.0000 0.5000 0.5000
0.5000 0.0000 0.5000
0.5000 0.5000 0.0000
```

Computed properties:
- Raw total energy: -4.32 eV per atom
- Symmetry: Pm-3m, No. 221

***

# 3
# BeAl2Ru

BeAl2Ru after structural relaxation (PBE-GGA, Alexandria via LeMat-Bulk).

Cell and atoms, written as POSCAR:
```
BeAl2Ru
1.0
3.0030 0.0000 0.0000
0.0000 3.8297 0.0000
-1.4971 0.0000 4.7154
Be Al Ru
1 2 1
Direct
0.0000 0.0000 0.0000
0.4068 0.5000 0.8080
0.7275 0.0000 0.4523
0.1302 0.5000 0.2567
```

Computed properties:
- Symmetry: Pm, No. 6
- DFT formation energy: -0.3356 eV per atom

***

# 4
# TlCd4Pb8

TlCd4Pb8 after structural relaxation (PBE-GGA, Alexandria via LeMat-Bulk).

Cell and atoms, written as POSCAR:
```
TlCd4Pb8
1.0
5.5160 -2.4224 0.0000
5.5160 2.4224 0.0000
-1.1582 0.0000 14.2091
Tl Cd Pb
1 4 8
Direct
0.0000 0.0000 0.0000
0.1534 0.1534 0.5372
0.3830 0.3830 0.8471
0.6170 0.6170 0.1529
0.8466 0.8466 0.4628
0.0746 0.0746 0.7665
0.2314 0.2314 0.3131
0.3066 0.3066 0.0785
0.4568 0.4568 0.6098
0.5432 0.5432 0.3902
0.6934 0.6934 0.9215
0.7686 0.7686 0.6869
0.9254 0.9254 0.2335
```

Computed properties:
- Symmetry: C2/m, No. 12
- DFT formation energy: 0.0389 eV per atom

***

> What is the formula in the fourth record?

TlCd4Pb8

***

Copy entry 4 word for word.
# TlCd4Pb8

TlCd4Pb8 after structural relaxation (PBE-GGA, Alexandria via LeMat-Bulk).

Cell and atoms, written as POSCAR:
```
TlCd4Pb8
1.0
5.5160 -2.4224 0.0000
5.5160 2.4224 0.0000
-1.1582 0.0000 14.2091
Tl Cd Pb
1 4 8
Direct
0.0000 0.0000 0.0000
0.1534 0.1534 0.5372
0.3830 0.3830 0.8471
0.6170 0.6170 0.1529
0.8466 0.8466 0.4628
0.0746 0.0746 0.7665
0.2314 0.2314 0.3131
0.3066 0.3066 0.0785
0.4568 0.4568 0.6098
0.5432 0.5432 0.3902
0.6934 0.6934 0.9215
0.7686 0.7686 0.6869
0.9254 0.9254 0.2335
```

Computed properties:
- Symmetry: C2/m, No. 12
- DFT formation energy: 0.0389 eV per atom

***

> Which formula does entry 2 have?

CsBN3